Density functional theory data (GGA+U) for an optimized crystal structure of K2CaVO4.

The calculation puts the spin magnetization at 2.00 Bohr magnetons per cell. Its space-group type is Fddd (70). Its uncorrected energy is -0.21241 Ha/atom.

a = 12.869 Å, b = 11.623 Å, c = 6.916 Å
α = 83.82°, β = 63.89°, γ = 32.29°
Sites, in units of the cell vectors:
K 0.075 0.075 0.675
K 0.325 0.325 0.925
K 0.675 0.675 0.075
K 0.925 0.925 0.325
Ca 0.125 0.125 0.125
Ca 0.875 0.875 0.875
V 0.375 0.375 0.375
V 0.625 0.625 0.625
O 0.042 0.642 0.523
O 0.294 0.523 0.642
O 0.358 0.958 0.706
O 0.477 0.706 0.958
O 0.523 0.294 0.042
O 0.642 0.042 0.294
O 0.706 0.477 0.358
O 0.958 0.358 0.477